No. 1
DFT (GGA-PBE) results for a geometry-optimized Be5As3 structure.

a b c (Å): 6.185 7.124 7.006
angles (deg): 104.04 97.77 127.02
Fractional coordinates of all 16 atoms:
Be  0.125  0.582  0.500
Be  0.422  0.971  0.500
Be  0.798  0.156  0.835
Be  0.299  0.036  0.199
Be  0.957  0.702  0.317
Be  0.411  0.553  0.715
Be  0.600  0.336  0.801
Be  0.463  0.821  0.165
Be  0.197  0.338  0.285
Be  0.140  0.886  0.683
As  0.711  0.697  0.043
As  0.168  0.154  0.957
As  0.249  0.172  0.500
As  0.604  0.769  0.500
As  0.086  0.574  0.822
As  0.764  0.253  0.178

Calculated values
SG   Cm
Calculated total energy   -3.8878 eV/atom

---

No. 2
DFT (GGA-PBE) results for a geometry-optimized NdGdMgGa structure.

a b c (Å): 5.271 5.271 5.271
angles (deg): 60.00 60.00 60.00
Last column: magnetic moment on the atom in μB.
Fractional coordinates of all 4 atoms:
Mg  0.750  0.750  0.750  0.00
Gd  0.000  0.000  0.000  7.14
Nd  0.500  0.500  0.500  0.05
Ga  0.250  0.250  0.250  -0.03

Calculated values
SG   F-43m
Calculated total energy   -6.2067 eV/atom